KRb2NaSb | PBE | optimized geometry

Cell: 7.140 7.140 6.844 Å, 90.00 90.00 90.00°
Element x y z (fractional)
1 K 0.000 0.000 0.000
2 Rb 0.000 0.500 0.500
3 Rb 0.500 0.000 0.500
4 Na 0.500 0.500 0.000
5 Sb 0.000 0.000 0.500

Properties
The crystal system is tetragonal. The formation energy (no corrections) is -85 meV per atom. The calculation puts the energy above the lowest structure with this stoichiometry at 64 meV/atom. The calculation puts the magnetization at 1.06 Bohr magnetons per cell.



Na2LiAgO | PBE | optimized geometry

Cell: 4.839 4.839 3.816 Å, 90.00 90.00 90.00°
Element x y z (fractional)
1 Na 0.000 0.500 0.000
2 Na 0.500 0.000 0.000
3 Li 0.000 0.000 0.500
4 Ag 0.500 0.500 0.500
5 O 0.000 0.000 0.000

Properties
The crystal system is tetragonal. The formation energy (no corrections) is -780 meV per atom. The calculation puts the magnetization at 0.00 Bohr magnetons per cell.



Er2GaRh3 | PBE | optimized geometry

Cell: 5.102 5.102 5.102 Å, 66.42 66.42 66.42°
Element x y z (fractional)
1 Er 0.130 0.130 0.130
2 Er 0.870 0.870 0.870
3 Ga 0.500 0.500 0.500
4 Rh 0.000 0.500 0.500
5 Rh 0.500 0.000 0.500
6 Rh 0.500 0.500 0.000

Properties
The crystal system is trigonal. The calculation puts the energy above the lowest structure with this stoichiometry at 0 meV/atom. The calculated formation energy is -0.900 eV/atom. The calculation puts the magnetization at 0.00 Bohr magnetons per cell.



DyHfAlZn | PBE | optimized geometry

Cell: 4.875 4.875 4.875 Å, 60.00 60.00 60.00°
Element x y z (fractional)
1 Dy 0.000 0.000 0.000
2 Hf 0.500 0.500 0.500
3 Al 0.250 0.250 0.250
4 Zn 0.750 0.750 0.750

Properties
The crystal system is cubic. The calculated formation energy is -0.250 eV/atom. The calculation puts the magnetization at 0.00 Bohr magnetons per cell.



CoTePb | PBE | optimized geometry

Cell: 4.621 4.621 4.621 Å, 60.00 60.00 60.00°
Element x y z (fractional)
1 Co 0.000 0.000 0.000
2 Te 0.750 0.750 0.750
3 Pb 0.250 0.250 0.250

Properties
The crystal system is cubic. The formation energy (no corrections) is 174 meV per atom. The calculation puts the energy above the lowest structure with this stoichiometry at 109 meV/atom. The calculation puts the magnetization at 0.91 Bohr magnetons per cell.



MgAl2Pb | PBE | optimized geometry

Cell: 6.469 6.469 6.469 Å, 101.45 101.45 127.09°
Element x y z (fractional)
1 Mg 0.000 0.000 0.000
2 Mg 0.750 0.250 0.500
3 Al 0.133 0.625 0.008
4 Al 0.375 0.383 0.508
5 Al 0.617 0.125 0.992
6 Al 0.875 0.867 0.492
7 Pb 0.250 0.750 0.500
8 Pb 0.500 0.500 0.000

Properties
The crystal system is tetragonal. The calculated formation energy is 0.328 eV/atom. The calculation puts the magnetization at 0.00 Bohr magnetons per cell.